Here is a relaxed NpFeTc crystal from OQMD. Energies are from PBE.

Output
Magnetization = 0.02 μB/f.u.
ΔE to the lowest computed polymorph = 0.0 kJ/mol of atoms
DFT formation energy = 509 meV/atom
ρ = 12847 kg/m3

a b c (Å): 5.8681 5.8681 5.8681
angles (deg): 90.00 90.00 90.00
Space group F-43m (No. 216)
Asymmetric unit:
Np 0.0000 0.0000 0.0000 [4 per cell]
Fe 0.2500 0.2500 0.7500 [4 per cell]
Tc 0.0000 0.0000 0.5000 [4 per cell]